Density functional theory data (PBE) for crystalline NiTe2Cl at its relaxed geometry.

The structure in extended XYZ format:
```
4
Lattice="3.8575 0.0000 0.0000 1.9287 3.3407 0.0000 1.9287 1.1136 7.4159" Properties=species:S:1:pos:R:3 pbc="T T T"
Ni 5.7862 3.3407 7.3530
Cl 3.8575 2.2271 3.9265
Te 1.9287 1.1136 1.2006
Te 1.9287 1.1136 6.0597
```

Computed properties:
magnetic moment	0.00	Bohr magnetons per cell
SG	R3m
DOS at the Fermi energy	2.13	states/eV/f.u.
E_form (uncorrected)	-116	kJ/mol of formula units